Entry 1:
Computed, not measured: an optimized crystal structure of Rb2LiRhBr6 at the PBE level of DFT.

Unit cell a=7.504 b=7.504 c=7.504 alpha=60.00 beta=60.00 gamma=90.00
Atoms (fractional coordinates):
Br (0.238, 0.238, 0.000)
Br (0.238, 0.762, 0.000)
Br (0.762, 0.762, 0.476)
Br (0.238, 0.238, 0.524)
Br (0.762, 0.238, 0.000)
Br (0.762, 0.762, 0.000)
Rh (0.000, 0.000, 0.000)
Li (0.500, 0.500, 0.000)
Rb (0.250, 0.750, 0.500)
Rb (0.750, 0.250, 0.500)

## Properties
As for the space group: No. 225. Its volume is 298.8 Å³/cell. The value obtained for the total energy is -3.252 eV per atom.

=====

Entry 2:
Computed, not measured: an optimized crystal structure of CaTmCdGe at the PBE level of DFT.

Unit cell a=5.169 b=5.169 c=5.169 alpha=60.00 beta=60.00 gamma=60.00
Atoms (fractional coordinates):
Cd (0.250, 0.250, 0.250)
Ge (0.750, 0.750, 0.750)
Tm (0.000, 0.000, 0.000)
Ca (0.500, 0.500, 0.500)

## Properties
As for the space group: No. 216. Its volume is 97.7 Å³/cell. As for the energy of formation: -0.4222 eV per atom. The value obtained for the total energy is -3.424 eV per atom.